Compound: Si2NiIr
Source: Alexandria
Functional: PBE
Structure: optimized geometry

Unit cell a=2.7780 b=2.7780 c=7.0118 alpha=90.00 beta=90.00 gamma=90.00
Closest atoms and distances in Å follow each position.
Sites, in units of the cell vectors:
Si (0.0000, 0.0000, 0.9611)  4 Ni 2.39
Si (0.5000, 0.5000, 0.2793)  4 Ir 2.47
Ir (0.0000, 0.0000, 0.4936)  4 Si 2.47, 4 Ni 2.74
Ni (0.5000, 0.5000, 0.7660)  4 Si 2.39

## Properties
* space-group type: No. 99
* E: -25.85 eV per cell
* ΔE_f (raw): -0.091 eV per atom
* magnetic moment: 0.0 μB/cell